# 1
## LaAl2SiPt (PBE-GGA)

Data for LaAl2SiPt after structural relaxation.

Lattice parameters (Å, degrees): 6.1500 6.1500 6.1500 139.25 139.25 59.00
Last column: nearest neighbours and their distance in Å.
Atoms (fractional coordinates):
1 Al 0.9490 0.4490 0.5000  2 Pt 2.49, 2 Si 2.71
2 Al 0.4490 0.9490 0.5000  2 Pt 2.49, 2 Si 2.71
3 Si 0.6049 0.6049 0.0000  1 Pt 2.42
4 La 0.1854 0.1854 0.0000  4 Si 3.15, 4 Al 3.31, 4 Pt 3.41
5 Pt 0.8310 0.8310 0.0000  1 Si 2.42, 4 Al 2.49

Calculated values
Final energy ... -5.749 eV/atom


# 2
## LiOsAuSe2S (PBE-GGA)

Data for LiOsAuSe2S after structural relaxation.

Lattice parameters (Å, degrees): 7.5889 7.5889 8.9424 90.00 90.00 150.32
Last column: nearest neighbours and their distance in Å.
Atoms (fractional coordinates):
1 Os 0.0000 0.0000 0.5000  2 S 2.24
2 Se 0.3819 0.6181 0.5162  1 Au 2.46, 1 Li 2.54, 2 Os 2.61
3 Au 0.6601 0.3399 0.7500  2 Se 2.46, 2 Li 2.66
4 Li 0.7165 0.2835 0.2500  2 Se 2.54, 2 Au 2.66
5 Os 0.0000 0.0000 0.0000  2 S 2.24
6 S 0.9999 0.0001 0.7500  2 Os 2.24
7 Au 0.3399 0.6601 0.2500  2 Se 2.46, 2 Li 2.66
8 Se 0.6181 0.3819 0.0162  1 Au 2.46, 1 Li 2.54, 2 Os 2.61
9 Se 0.6181 0.3819 0.4838  1 Au 2.46, 1 Li 2.54, 2 Os 2.61
10 Se 0.3819 0.6181 0.9838  1 Au 2.46, 1 Li 2.54, 2 Os 2.61
11 S 0.0001 0.9999 0.2500  2 Os 2.24
12 Li 0.2835 0.7165 0.7500  2 Se 2.54, 2 Au 2.66

Calculated values
Final energy ... -4.758 eV/atom


# 3
## AcNpPb (PBE-GGA)

Data for AcNpPb after structural relaxation.

Lattice parameters (Å, degrees): 5.4799 5.4799 5.4799 60.00 60.00 60.00
Last column: nearest neighbours and their distance in Å.
Atoms (fractional coordinates):
1 Np 0.2500 0.2500 0.2500  4 Ac 3.36
2 Pb 0.7500 0.7500 0.7500  4 Ac 3.36
3 Ac 0.0000 0.0000 0.0000  4 Pb 3.36, 4 Np 3.36

Calculated values
Polymorph energy (0 for the lowest one) ... 396 meV per atom


# 4
## Er2ZnGa3Ni2 (PBE-GGA)

Data for Er2ZnGa3Ni2 after structural relaxation.

Lattice parameters (Å, degrees): 5.3543 5.3543 6.8545 90.05 90.05 44.36
Last column: nearest neighbours and their distance in Å.
Atoms (fractional coordinates):
1 Er 0.9353 0.9353 0.2511  3 Ni 2.76-2.98, 2 Zn 3.02, 2 Ga 3.03
2 Ni 0.7835 0.7835 0.7553  4 Ga 2.45-2.50, 2 Zn 2.54
3 Ni 0.2139 0.2139 0.2458  5 Ga 2.47-2.53, 1 Zn 2.51, 1 Er 2.76
4 Zn 0.3515 0.3515 0.5541  3 Ni 2.51-2.54, 1 Ga 2.68
5 Ga 0.3513 0.3513 0.9453  3 Ni 2.47-2.50, 1 Zn 2.68
6 Ga 0.6486 0.6486 0.0537  3 Ni 2.45-2.50, 1 Ga 2.70
7 Er 0.0650 0.0650 0.7471  3 Ni 2.79-2.96, 4 Ga 3.00-3.03
8 Ga 0.6509 0.6509 0.4476  3 Ni 2.48-2.53, 1 Ga 2.70

Calculated values
Final energy ... -4.419 eV/atom


# 5
## KGdTeO (PBE-GGA)

Data for KGdTeO after structural relaxation.

Lattice parameters (Å, degrees): 7.7940 7.7940 7.7940 29.09 29.09 29.09
Last column: nearest neighbours and their distance in Å.
Atoms (fractional coordinates):
1 K 0.4885 0.4885 0.4885  3 O 3.08, 3 Te 3.30
2 Gd 0.0207 0.0207 0.0207  3 O 2.44
3 O 0.7282 0.7282 0.7282  3 Gd 2.44
4 Te 0.2627 0.2627 0.2627  3 Gd 3.05, 3 K 3.30

Calculated values
Polymorph energy (0 for the lowest one) ... 288 meV per atom


# 6
## DyNpFe (PBE-GGA)

Data for DyNpFe after structural relaxation.

Lattice parameters (Å, degrees): 4.4639 4.4639 4.4639 60.00 60.00 60.00
Last column: nearest neighbours and their distance in Å.
Atoms (fractional coordinates):
1 Fe 0.0000 0.0000 0.0000  4 Np 2.73, 4 Dy 2.73
2 Dy 0.2500 0.2500 0.2500  4 Fe 2.73
3 Np 0.7500 0.7500 0.7500  4 Fe 2.73

Calculated values
E_form ... 0.46 eV per atom
Polymorph energy (0 for the lowest one) ... 0 meV per atom


# 7
## La3NdAs2I2 (PBE-GGA)

Data for La3NdAs2I2 after structural relaxation.

Lattice parameters (Å, degrees): 4.3467 4.3467 15.6178 90.00 90.00 120.00
Last column: nearest neighbours and their distance in Å.
Atoms (fractional coordinates):
1 I 0.6667 0.3333 0.7541  3 Nd 3.39, 3 La 3.44
2 Nd 0.0000 0.0000 0.9001  3 As 2.92
3 La 0.0000 0.0000 0.6032  3 As 2.97
4 La 0.6667 0.3333 0.0985  3 As 2.98
5 As 0.3333 0.6667 0.5009  6 La 2.97
6 As 0.3333 0.6667 0.9962  3 Nd 2.92, 3 La 2.98
7 La 0.6667 0.3333 0.3986  3 As 2.97
8 I 0.0000 0.0000 0.2484  6 La 3.43-3.44

Calculated values
Final energy ... -5.394 eV/atom


# 8
## HoZr (PBE-GGA)

Data for HoZr after structural relaxation.

Lattice parameters (Å, degrees): 5.8723 6.7761 5.3570 90.00 90.00 90.00
Last column: nearest neighbours and their distance in Å.
Atoms (fractional coordinates):
1 Zr 0.8455 0.7519 0.5000  4 Zr 3.26-3.40, 8 Ho 3.29-3.48
2 Zr 0.9878 0.9981 0.0000  4 Zr 3.26-3.40, 8 Ho 3.29-3.48
3 Ho 0.5059 0.7496 0.0000  8 Zr 3.29-3.48, 4 Ho 3.34-3.39
4 Ho 0.8274 0.2496 0.5000  8 Zr 3.29-3.48, 4 Ho 3.34-3.39
5 Zr 0.3455 0.4981 0.5000  4 Zr 3.26-3.40, 8 Ho 3.29-3.48
6 Ho 0.0059 0.5004 0.0000  8 Zr 3.29-3.48, 4 Ho 3.34-3.39
7 Ho 0.3274 0.0004 0.5000  8 Zr 3.29-3.48, 4 Ho 3.34-3.39
8 Zr 0.4878 0.2519 0.0000  4 Zr 3.26-3.40, 8 Ho 3.29-3.48

Calculated values
E_form ... 0.07 eV per atom


# 9
## CoTePb2 (PBE-GGA)

Data for CoTePb2 after structural relaxation.

Lattice parameters (Å, degrees): 5.1976 5.1976 5.1976 60.00 60.00 60.00
Last column: nearest neighbours and their distance in Å.
Atoms (fractional coordinates):
1 Pb 0.7500 0.7500 0.7500  4 Te 3.18, 4 Pb 3.18
2 Pb 0.0000 0.0000 0.0000  4 Pb 3.18, 4 Co 3.18
3 Co 0.2500 0.2500 0.2500  4 Pb 3.18, 4 Te 3.18
4 Te 0.5000 0.5000 0.5000  4 Pb 3.18, 4 Co 3.18

Calculated values
Final energy ... -3.865 eV/atom


# 10
## PrNdMg2Pb2 (PBE-GGA)

Data for PrNdMg2Pb2 after structural relaxation.

Lattice parameters (Å, degrees): 8.7827 8.7827 8.7827 149.88 149.88 43.11
Last column: nearest neighbours and their distance in Å.
Atoms (fractional coordinates):
1 Mg 0.5002 0.0002 0.5000  4 Pb 3.17, 4 Mg 3.23, 2 Nd 3.51, 2 Pr 3.52
2 Pb 0.8652 0.8652 0.0000  4 Mg 3.17, 4 Pr 3.26, 1 Nd 3.30
3 Nd 0.6635 0.6635 0.0000  5 Pb 3.26-3.30, 4 Mg 3.51
4 Pr 0.3361 0.3361 0.0000  5 Pb 3.26-3.29, 4 Mg 3.52
5 Mg 0.0002 0.5002 0.5000  4 Pb 3.17, 4 Mg 3.23, 2 Nd 3.51, 2 Pr 3.52
6 Pb 0.1347 0.1347 0.0000  4 Mg 3.17, 4 Nd 3.26, 1 Pr 3.29

Calculated values
Final energy ... -3.816 eV/atom


# 11
## BeReGeSb (PBE-GGA)

Data for BeReGeSb after structural relaxation.

Lattice parameters (Å, degrees): 4.4945 4.4945 4.4945 60.00 60.00 60.00
Last column: nearest neighbours and their distance in Å.
Atoms (fractional coordinates):
1 Be 0.7500 0.7500 0.7500  4 Ge 2.75, 4 Sb 2.75
2 Ge 0.5000 0.5000 0.5000  4 Re 2.75, 4 Be 2.75
3 Re 0.2500 0.2500 0.2500  4 Sb 2.75, 4 Ge 2.75
4 Sb 0.0000 0.0000 0.0000  4 Re 2.75, 4 Be 2.75

Calculated values
Polymorph energy (0 for the lowest one) ... 0 meV per atom


# 12
## SrHfGa (PBE-GGA)

Data for SrHfGa after structural relaxation.

Lattice parameters (Å, degrees): 5.0902 5.0902 5.0902 60.00 60.00 60.00
Last column: nearest neighbours and their distance in Å.
Atoms (fractional coordinates):
1 Ga 0.2500 0.2500 0.2500  4 Sr 3.12
2 Sr 0.0000 0.0000 0.0000  4 Hf 3.12, 4 Ga 3.12
3 Hf 0.7500 0.7500 0.7500  4 Sr 3.12

Calculated values
Polymorph energy (0 for the lowest one) ... 795 meV per atom


# 13
## NbTlAgTe2Se (PBE-GGA)

Data for NbTlAgTe2Se after structural relaxation.

Lattice parameters (Å, degrees): 7.9514 7.9514 10.4826 90.00 90.00 151.35
Last column: nearest neighbours and their distance in Å.
Atoms (fractional coordinates):
1 Te 0.1348 0.8652 0.0300  1 Ag 2.71, 2 Nb 2.88
2 Nb 0.5000 0.5000 0.5000  2 Se 2.83, 4 Te 2.88
3 Tl 0.2493 0.7507 0.7500  2 Se 3.41, 6 Te 3.42-3.52, 2 Ag 3.76
4 Se 0.5686 0.4314 0.7500  2 Ag 2.61, 2 Nb 2.83
5 Ag 0.9576 0.0424 0.7500  2 Se 2.61, 2 Te 2.71
6 Te 0.8652 0.1348 0.5300  1 Ag 2.71, 2 Nb 2.88
7 Nb 0.5000 0.5000 0.0000  2 Se 2.83, 4 Te 2.88
8 Te 0.1348 0.8652 0.4700  1 Ag 2.71, 2 Nb 2.88
9 Se 0.4314 0.5686 0.2500  2 Ag 2.61, 2 Nb 2.83
10 Tl 0.7507 0.2493 0.2500  2 Se 3.41, 6 Te 3.42-3.52, 2 Ag 3.76
11 Ag 0.0424 0.9576 0.2500  2 Se 2.61, 2 Te 2.71
12 Te 0.8652 0.1348 0.9700  1 Ag 2.71, 2 Nb 2.88

Calculated values
Final energy ... -4.424 eV/atom


no.,magnetization (μB per formula unit)
1,0.00
2,0.00
3,5.96
4,0.00
5,0.00
6,3.57
7,0.02
8,0.00
9,1.51
10,0.01
11,0.00
12,0.16
13,0.90